No. 1
Compound: GdLuGeIr
Source: the Alexandria database
Functional: PBE
Structure: optimized geometry

a b c (Å): 4.9307 4.9307 4.9307
angles (deg): 60.00 60.00 60.00
Last column: magnetic moment on the atom in μB.
Fractional positions:
Ge1 0.5000 0.5000 0.5000  -0.02
Gd1 0.7500 0.7500 0.7500  6.98
Lu1 0.2500 0.2500 0.2500  0.00
Ir1 0.0000 0.0000 0.0000  -0.04

Computed properties:
Formation enthalpy at 0 K, eV per formula unit: -2.79
Symmetry: F-43m, No. 216

=====

No. 2
Compound: NdGdGeIr
Source: the Alexandria database
Functional: PBE
Structure: optimized geometry

a b c (Å): 5.0708 5.0708 5.0708
angles (deg): 60.00 60.00 60.00
Last column: magnetic moment on the atom in μB.
Fractional positions:
Gd1 0.7500 0.7500 0.7500  -6.97
Ge1 0.0000 0.0000 0.0000  0.02
Ir1 0.5000 0.5000 0.5000  0.05
Nd1 0.2500 0.2500 0.2500  0.00

Computed properties:
Formation enthalpy at 0 K, eV per formula unit: -2.38
Symmetry: F-43m, No. 216

=====

No. 3
Compound: GdPuGeIr
Source: the Alexandria database
Functional: PBE
Structure: optimized geometry

a b c (Å): 4.9757 4.9757 4.9757
angles (deg): 60.00 60.00 60.00
Last column: magnetic moment on the atom in μB.
Fractional positions:
Gd1 0.0000 0.0000 0.0000  -7.00
Ge1 0.2500 0.2500 0.2500  0.12
Ir1 0.7500 0.7500 0.7500  0.39
Pu1 0.5000 0.5000 0.5000  -5.11

Computed properties:
Formation enthalpy at 0 K, eV per formula unit: -1.91
Symmetry: F-43m, No. 216

=====

No. 4
Compound: GdScGeIr
Source: the Alexandria database
Functional: PBE
Structure: optimized geometry

a b c (Å): 4.8460 4.8460 4.8460
angles (deg): 60.00 60.00 60.00
Last column: magnetic moment on the atom in μB.
Fractional positions:
Gd1 0.0000 0.0000 0.0000  -6.98
Sc1 0.5000 0.5000 0.5000  0.01
Ge1 0.2500 0.2500 0.2500  0.02
Ir1 0.7500 0.7500 0.7500  0.04

Computed properties:
Formation enthalpy at 0 K, eV per formula unit: -2.68
Symmetry: F-43m, No. 216

=====

No. 5
Compound: SmGdGeIr
Source: the Alexandria database
Functional: PBE
Structure: optimized geometry

a b c (Å): 5.0373 5.0373 5.0373
angles (deg): 60.00 60.00 60.00
Last column: magnetic moment on the atom in μB.
Fractional positions:
Gd1 0.2500 0.2500 0.2500  6.97
Ge1 0.5000 0.5000 0.5000  -0.02
Ir1 0.0000 0.0000 0.0000  -0.05
Sm1 0.7500 0.7500 0.7500  0.00

Computed properties:
Formation enthalpy at 0 K, eV per formula unit: -2.51
Symmetry: F-43m, No. 216

=====

No. 6
Compound: GdYGeIr
Source: the Alexandria database
Functional: PBE
Structure: optimized geometry

a b c (Å): 4.9880 4.9880 4.9880
angles (deg): 60.00 60.00 60.00
Last column: magnetic moment on the atom in μB.
Fractional positions:
Gd1 0.7500 0.7500 0.7500  6.98
Y1 0.2500 0.2500 0.2500  0.00
Ge1 0.5000 0.5000 0.5000  -0.02
Ir1 0.0000 0.0000 0.0000  -0.05

Computed properties:
Formation enthalpy at 0 K, eV per formula unit: -2.70
Symmetry: F-43m, No. 216

=====

No. 7
Compound: KPrGdGeO6
Source: the Alexandria database
Functional: PBE
Structure: optimized geometry

a b c (Å): 5.8099 5.8099 5.8099
angles (deg): 60.00 60.00 60.00
Last column: magnetic moment on the atom in μB.
Fractional positions:
K1 0.7500 0.7500 0.7500  0.00
Pr1 0.2500 0.2500 0.2500  0.02
Gd1 0.0000 0.0000 0.0000  6.82
Ge1 0.5000 0.5000 0.5000  0.02
O1 0.2694 0.7306 0.2694  -0.14
O2 0.7306 0.2694 0.7306  -0.14
O3 0.2694 0.7306 0.7306  -0.14
O4 0.7306 0.2694 0.2694  -0.14
O5 0.2694 0.2694 0.7306  -0.14
O6 0.7306 0.7306 0.2694  -0.14

Computed properties:
Symmetry: F-43m, No. 216
Uncorrected formation energy, meV/atom: -2261

=====

No. 8
Compound: KGdGeS4
Source: the Alexandria database
Functional: PBE
Structure: optimized geometry

a b c (Å): 6.7319 6.5957 8.7837
angles (deg): 72.79 90.00 90.00
Last column: magnetic moment on the atom in μB.
Fractional positions:
K1 0.4905 0.2685 0.9343  0.00
K2 0.9905 0.7315 0.0657  0.00
Gd1 0.5102 0.2286 0.4488  6.93
Gd2 0.0102 0.7714 0.5512  6.93
Ge1 0.9735 0.2264 0.6737  0.00
Ge2 0.4735 0.7736 0.3263  0.00
S1 0.4052 0.5675 0.5720  0.00
S2 0.9052 0.4325 0.4280  0.00
S3 0.9720 0.4297 0.8323  0.00
S4 0.4720 0.5703 0.1677  0.00
S5 0.2443 0.0221 0.7000  -0.01
S6 0.7443 0.9779 0.3000  -0.01
S7 0.2373 0.0231 0.2801  -0.01
S8 0.7373 0.9769 0.7199  -0.01

Computed properties:
Symmetry: P2_1, No. 4
Uncorrected formation energy, meV/atom: -1262

=====

One value per record, in order, for theoretical density: 11.7; 10.2; 12.7; 9.6; 10.5; 9.7; 6.1; 3.5 g cm⁻³.